[1]
Material: Ba2GaPt2
Method: DFT, PBE
State: relaxed Values from VASP.

ΔH_f (0 K)   -0.341 eV/atom
Density   8.281 g cm⁻³
Space group   I4/mmm, No. 139
Final energy   -4.132 eV per atom

```
&SYSTEM
  ibrav = 0, nat = 5, ntyp = 3
/
ATOMIC_SPECIES
Ga 69.72 Ga.upf
Ba 137.33 Ba.upf
Pt 195.08 Pt.upf
CELL_PARAMETERS angstrom
3.8571 0.0000 0.0000
0.0000 3.8571 0.0000
1.9285 1.9285 9.9007
ATOMIC_POSITIONS angstrom
Ga 0.0000 0.0000 0.0000
Ba 1.9285 1.9285 2.3406
Ba 3.8571 3.8571 7.5601
Pt 3.8571 1.9285 4.9504
Pt 1.9285 3.8571 4.9504
```

[2]
Material: La3AuF
Method: DFT, PBE
State: relaxed Values from VASP.

Raw formation energy   -1.128 eV per atom
Density   8.095 g cm⁻³
Space group   Pm-3m, No. 221
Final energy   -5.114 eV per atom
Relative energy among the computed polymorphs   0 meV per atom

```
&SYSTEM
  ibrav = 0, nat = 5, ntyp = 3
/
ATOMIC_SPECIES
F 19.00 F.upf
Au 196.97 Au.upf
La 138.91 La.upf
CELL_PARAMETERS angstrom
5.0630 0.0000 0.0000
0.0000 5.0630 0.0000
0.0000 0.0000 5.0630
ATOMIC_POSITIONS angstrom
F 0.0000 0.0000 0.0000
Au 2.5315 2.5315 2.5315
La 0.0000 2.5315 0.0000
La 0.0000 0.0000 2.5315
La 2.5315 0.0000 0.0000
```